No. 1
Crystalline Tl2InBr6 at its relaxed geometry, computed with PBE.

Cell: 7.3785 7.8382 12.8079 Å, 90.00 120.84 90.00°
Fractional positions:
Tl 0.1780 0.0908 0.2203
Tl 0.1780 0.4092 0.7203
Tl 0.8220 0.5908 0.2797
Tl 0.8220 0.9092 0.7797
In 0.5000 0.0000 0.0000
In 0.5000 0.5000 0.5000
Br 0.1565 0.1895 0.9520
Br 0.1565 0.3105 0.4520
Br 0.2620 0.7102 0.9237
Br 0.2620 0.7898 0.4237
Br 0.4200 0.0623 0.7704
Br 0.4200 0.4377 0.2704
Br 0.5800 0.5623 0.7296
Br 0.5800 0.9377 0.2296
Br 0.7380 0.2102 0.5763
Br 0.7380 0.2898 0.0763
Br 0.8435 0.6895 0.5480
Br 0.8435 0.8105 0.0480

Calculated values
size of the total moment	0.0	μB per cell
raw formation energy	-702	meV/atom

No. 2
Crystalline Tl3InBr4 at its relaxed geometry, computed with PBE.

Cell: 6.7339 6.7339 13.4730 Å, 90.00 90.00 90.00°
Fractional positions:
Tl 0.0000 0.0000 0.0000
Tl 0.0000 0.5000 0.2500
Tl 0.0000 0.5000 0.7500
Tl 0.5000 0.0000 0.2500
Tl 0.5000 0.0000 0.7500
Tl 0.5000 0.5000 0.5000
In 0.0000 0.0000 0.5000
In 0.5000 0.5000 0.0000
Br 0.0000 0.0000 0.2519
Br 0.0000 0.0000 0.7481
Br 0.0000 0.5000 0.0000
Br 0.0000 0.5000 0.5000
Br 0.5000 0.0000 0.0000
Br 0.5000 0.0000 0.5000
Br 0.5000 0.5000 0.2481
Br 0.5000 0.5000 0.7519

Calculated values
size of the total moment	0.0	μB per cell
raw formation energy	-809	meV/atom

No. 3
Crystalline TlInBr4 at its relaxed geometry, computed with PBE.

Cell: 9.4863 10.4523 12.1578 Å, 90.00 125.99 90.00°
Fractional positions:
Tl 0.2100 0.1497 0.2798
Tl 0.2100 0.3503 0.7798
Tl 0.7900 0.6497 0.2202
Tl 0.7900 0.8503 0.7202
In 0.3100 0.6659 0.1991
In 0.3100 0.8341 0.6991
In 0.6900 0.1659 0.3009
In 0.6900 0.3341 0.8009
Br 0.1153 0.6366 0.6092
Br 0.1153 0.8634 0.1092
Br 0.1600 0.0021 0.7473
Br 0.1600 0.4979 0.2473
Br 0.3544 0.6057 0.0167
Br 0.3544 0.8943 0.5167
Br 0.3751 0.2093 0.1004
Br 0.3751 0.2907 0.6004
Br 0.6249 0.7093 0.3996
Br 0.6249 0.7907 0.8996
Br 0.6456 0.1057 0.4833
Br 0.6456 0.3943 0.9833
Br 0.8400 0.5021 0.7527
Br 0.8400 0.9979 0.2527
Br 0.8847 0.1366 0.8908
Br 0.8847 0.3634 0.3908

Calculated values
size of the total moment	0.0	μB per cell
polymorph energy (0 for the lowest one)	0.000	eV per formula unit
raw formation energy	-844	meV/atom

No. 4
Crystalline Tl3InBr at its relaxed geometry, computed with PBE.

Cell: 6.0523 6.0523 6.0523 Å, 90.00 90.00 90.00°
Fractional positions:
Tl 0.0000 0.0000 0.5000
Tl 0.0000 0.5000 0.0000
Tl 0.5000 0.0000 0.0000
In 0.5000 0.5000 0.5000
Br 0.0000 0.0000 0.0000

Calculated values
size of the total moment	0.0	μB per cell
polymorph energy (0 for the lowest one)	0.586	eV per formula unit
raw formation energy	126	meV/atom

No. 5
Crystalline TlIn3Br at its relaxed geometry, computed with PBE.

Cell: 5.9369 5.9369 5.9369 Å, 90.00 90.00 90.00°
Fractional positions:
Tl 0.0000 0.0000 0.0000
In 0.0000 0.5000 0.5000
In 0.5000 0.0000 0.5000
In 0.5000 0.5000 0.0000
Br 0.5000 0.5000 0.5000

Calculated values
size of the total moment	0.0	μB per cell
polymorph energy (0 for the lowest one)	0.381	eV per formula unit
raw formation energy	238	meV/atom

No. 6
Crystalline Tl2InBr at its relaxed geometry, computed with PBE.

Cell: 6.6490 6.6490 15.7870 Å, 90.00 90.00 90.00°
Fractional positions:
Tl 0.2225 0.2500 0.1250
Tl 0.2500 0.7225 0.3750
Tl 0.2500 0.7775 0.8750
Tl 0.2775 0.2500 0.6250
Tl 0.7225 0.7500 0.6250
Tl 0.7500 0.2225 0.8750
Tl 0.7500 0.2775 0.3750
Tl 0.7775 0.7500 0.1250
In 0.0000 0.0000 0.0000
In 0.0000 0.5000 0.2500
In 0.5000 0.0000 0.7500
In 0.5000 0.5000 0.5000
Br 0.0000 0.0000 0.5000
Br 0.0000 0.5000 0.7500
Br 0.5000 0.0000 0.2500
Br 0.5000 0.5000 0.0000

Calculated values
size of the total moment	0.0	μB per cell
polymorph energy (0 for the lowest one)	0.735	eV per formula unit
raw formation energy	-83	meV/atom

No. 7
Crystalline TlIn2Br8 at its relaxed geometry, computed with PBE.

Cell: 8.4330 8.4330 6.9845 Å, 96.88 96.88 71.91°
Fractional positions:
Tl 0.0000 0.0000 0.0000
In 0.2055 0.2055 0.6564
In 0.7945 0.7945 0.3436
Br 0.0945 0.6941 0.2356
Br 0.1947 0.1947 0.2846
Br 0.3059 0.9055 0.7644
Br 0.3847 0.3847 0.7923
Br 0.6153 0.6153 0.2077
Br 0.6941 0.0945 0.2356
Br 0.8053 0.8053 0.7154
Br 0.9055 0.3059 0.7644

Calculated values
size of the total moment	0.0	μB per cell
raw formation energy	-702	meV/atom

No. 8
Crystalline Tl3In2Br8 at its relaxed geometry, computed with PBE.

Cell: 9.0318 9.0318 8.1570 Å, 107.49 107.49 61.85°
Fractional positions:
Tl 0.0000 0.0000 0.0000
Tl 0.2769 0.7231 0.5000
Tl 0.7231 0.2769 0.5000
In 0.3112 0.3112 0.8600
In 0.6888 0.6888 0.1400
Br 0.1266 0.1266 0.7349
Br 0.1355 0.6053 0.7533
Br 0.3621 0.3621 0.2032
Br 0.3947 0.8645 0.2467
Br 0.6053 0.1355 0.7533
Br 0.6379 0.6379 0.7968
Br 0.8645 0.3947 0.2467
Br 0.8734 0.8734 0.2651

Calculated values
size of the total moment	0.0	μB per cell
polymorph energy (0 for the lowest one)	0.000	eV per formula unit
raw formation energy	-775	meV/atom

No. 9
Crystalline Tl2InBr at its relaxed geometry, computed with PBE.

Cell: 5.7334 5.7334 3.7379 Å, 90.00 90.00 90.00°
Fractional positions:
Tl 0.0000 0.5000 0.0000
Tl 0.5000 0.0000 0.0000
In 0.0000 0.0000 0.5000
Br 0.5000 0.5000 0.5000

Calculated values
size of the total moment	0.0	μB per cell
polymorph energy (0 for the lowest one)	0.027	eV per formula unit
raw formation energy	-260	meV/atom

No. 10
Crystalline Tl2InBr at its relaxed geometry, computed with PBE.

Cell: 3.8836 3.8836 29.2840 Å, 90.00 90.00 120.00°
Fractional positions:
Tl 0.0000 0.0000 0.2466
Tl 0.0000 0.0000 0.7534
Tl 0.3333 0.6667 0.4201
Tl 0.3333 0.6667 0.9133
Tl 0.6667 0.3333 0.0867
Tl 0.6667 0.3333 0.5799
In 0.0000 0.0000 0.0000
In 0.3333 0.6667 0.6667
In 0.6667 0.3333 0.3333
Br 0.0000 0.0000 0.5000
Br 0.3333 0.6667 0.1667
Br 0.6667 0.3333 0.8333

Calculated values
size of the total moment	0.0	μB per cell
polymorph energy (0 for the lowest one)	0.155	eV per formula unit
raw formation energy	-228	meV/atom

It is found that the volume values, taken in the order of the records, are 35.33 38.18 40.64 44.34 41.85 43.62 42.45 42.27 30.72 31.87 A^3/atom.